1.
Entry from Alexandria: a geometry-optimized TaBeNi2 structure (PBE).

The total energy comes out at -6.67 eV/atom. The calculation puts the density of states at the Fermi level at 10.2 states/eV per cell.

It has space group R3m (No. 160, hexagonal axes), with a = 2.6902 Å, b = 2.6902 Å, c = 24.1410 Å, α = 90.00°, β = 90.00° and γ = 120.00°. The distinct sites, in fractional coordinates, are Ta at (0.0000, 0.0000, 0.0000), Be at (0.0000, 0.0000, 0.7596), Ni at (0.0000, 0.0000, 0.2434) and Ni at (0.0000, 0.0000, 0.4933).



2.
Entry from Alexandria: a geometry-optimized NaEu2Ga structure (PBE).

The total energy comes out at -6.36 eV/atom. The calculation puts the density of states at the Fermi level at 64.4 states/eV per cell. Its energy above the lowest structure with this stoichiometry is 0.092 eV/atom.

It has space group Fm-3m (No. 225), with a = 7.883 Å, b = 7.883 Å, c = 7.883 Å, α = 90.00°, β = 90.00° and γ = 90.00°. The distinct sites, in fractional coordinates, are Na at (0.000, 0.000, 0.000), Eu at (0.250, 0.250, 0.250) and Ga at (0.000, 0.000, 0.500).



3.
Entry from Alexandria: a geometry-optimized BaLaP2S structure (PBE).

The total energy comes out at -4.97 eV/atom. The calculation puts the density of states at the Fermi level at 6.3 states/eV per cell. Its energy above the lowest structure with this stoichiometry is 0.000 eV/atom. The calculation puts the formation energy from raw total energies at -0.611 eV/atom.

It has space group P4/mmm (No. 123), with a = 5.467 Å, b = 5.467 Å, c = 5.519 Å, α = 90.00°, β = 90.00° and γ = 90.00°. The distinct sites, in fractional coordinates, are Ba at (0.000, 0.000, 0.000), La at (0.500, 0.500, 0.500), P at (0.000, 0.500, 0.500) and S at (0.500, 0.500, 0.000).



Please write out number 3 again, unchanged.
Entry from Alexandria: a geometry-optimized BaLaP2S structure (PBE).

The total energy comes out at -4.97 eV/atom. The calculation puts the density of states at the Fermi level at 6.3 states/eV per cell. Its energy above the lowest structure with this stoichiometry is 0.000 eV/atom. The calculation puts the formation energy from raw total energies at -0.611 eV/atom.

It has space group P4/mmm (No. 123), with a = 5.467 Å, b = 5.467 Å, c = 5.519 Å, α = 90.00°, β = 90.00° and γ = 90.00°. The distinct sites, in fractional coordinates, are Ba at (0.000, 0.000, 0.000), La at (0.500, 0.500, 0.500), P at (0.000, 0.500, 0.500) and S at (0.500, 0.500, 0.000).